Record 1
Compound: Tl3Cd
Source: Alexandria via LeMat-Bulk
Functional: PBE
Structure: optimized geometry

Cell and atoms, written as POSCAR:
```
Tl3Cd
1.0
5.8042 -0.2521 0.0000
1.6943 5.5571 0.0000
-3.7493 -2.6525 3.5580
Tl Cd
3 1
Direct
0.2500 0.7500 0.5000
0.5000 0.5000 0.0000
0.7500 0.2500 0.5000
0.0000 0.0000 0.0000
```

## Properties
SG = I4/mmm, No. 139
formation enthalpy at 0 K = 0.044 eV/atom
uncorrected energy = -1.96 eV per atom

Record 2
Compound: NaLi2Tl2
Source: Alexandria via LeMat-Bulk
Functional: PBE
Structure: optimized geometry

Cell and atoms, written as POSCAR:
```
NaLi2Tl2
1.0
-4.6371 1.7960 -0.4122
-2.5286 1.3410 4.0873
-0.5004 5.8286 0.8240
Tl Li Na
2 2 1
Direct
0.7846 0.2846 0.6462
0.2154 0.7154 0.3538
0.4105 0.9105 0.7684
0.5895 0.0895 0.2316
0.0000 0.5000 0.0000
```

## Properties
SG = R-3m, No. 166
formation enthalpy at 0 K = -0.174 eV/atom
uncorrected energy = -2.15 eV per atom

Record 3
Compound: Ge2Rh2W
Source: Alexandria via LeMat-Bulk
Functional: PBE
Structure: optimized geometry

Cell and atoms, written as POSCAR:
```
Ge2Rh2W
1.0
7.2453 0.0000 0.0000
0.0000 7.2453 0.0000
0.0000 0.0000 2.8226
W Ge Rh
2 4 4
Direct
0.0000 0.0000 0.0000
0.5000 0.5000 0.0000
0.6510 0.1510 0.0000
0.8490 0.6510 0.0000
0.3490 0.8490 0.0000
0.1510 0.3490 0.0000
0.8509 0.3509 0.5000
0.3509 0.1491 0.5000
0.1491 0.6491 0.5000
0.6491 0.8509 0.5000
```

## Properties
SG = P4/mbm, No. 127
formation enthalpy at 0 K = -0.106 eV/atom
uncorrected energy = -7.48 eV per atom